{"formula": "LiV2F", "functional": "PBE with a Hubbard U", "state": "relaxed", "cell": [[8.649, 0.000, 0.000], [0.000, 8.649, 0.000], [4.325, 4.325, 1.851]], "species": ["F", "V", "Li", "Li", "F", "V", "V", "V"], "frac_coords": [[0.000, 0.000, 0.000], [0.753, 0.125, 0.250], [0.250, 0.750, 0.500], [0.500, 0.500, 0.000], [0.750, 0.250, 0.500], [0.997, 0.625, 0.250], [0.375, 0.247, 0.750], [0.875, 0.003, 0.750]], "magnetic_moment_mub_per_fu": 6.5, "de_polymorph_mev_per_atom": 0, "space_group": "No. 122", "mass_density_g_cm3": 3.07, "final_energy_ev_per_atom": -4.541}